Entry 1:
This record from Alexandria describes crystalline TcNiIr2 at its relaxed geometry. The functional is GGA-PBEsol.

Lattice parameters (Å, degrees): 3.7823 3.7823 3.6918 90.00 90.00 90.00
Atoms (fractional coordinates):
Tc  0.0000  0.0000  0.0000
Ni  0.5000  0.5000  0.0000
Ir  0.0000  0.5000  0.5000
Ir  0.5000  0.0000  0.5000

Properties
- Space-group type: P4/mmm (123)
- Formation enthalpy at 0 K: 2 kJ/mol of atoms
- Energy above the most stable polymorph in this dataset: 0.142 eV/atom

Entry 2:
This record from Alexandria describes crystalline TiNi3 at its relaxed geometry. The functional is GGA-PBEsol.

Lattice parameters (Å, degrees): 5.0311 5.0311 4.1052 90.00 90.00 120.00
Atoms (fractional coordinates):
Ti  0.3333  0.6667  0.2500
Ti  0.6667  0.3333  0.7500
Ni  0.1621  0.3241  0.7500
Ni  0.1621  0.8379  0.7500
Ni  0.3241  0.1621  0.2500
Ni  0.6759  0.8379  0.7500
Ni  0.8379  0.1621  0.2500
Ni  0.8379  0.6759  0.2500

Properties
- Space-group type: P6_3/mmc (194)
- Formation enthalpy at 0 K: -48 kJ/mol of atoms

Entry 3:
This record from Alexandria describes crystalline LiCa2Cd at its relaxed geometry. The functional is GGA-PBEsol.

Lattice parameters (Å, degrees): 6.1555 6.1555 5.5345 109.28 109.28 34.81
Atoms (fractional coordinates):
Li  0.0000  0.0000  0.0000
Ca  0.2280  0.2280  0.7797
Ca  0.4365  0.4365  0.4354
Cd  0.6895  0.6895  0.2522

Properties
- Space-group type: Cm (8)
- Formation enthalpy at 0 K: -15 kJ/mol of atoms
- Energy above the most stable polymorph in this dataset: 0.037 eV/atom

Entry 4:
This record from Alexandria describes crystalline Rb2YTlF6 at its relaxed geometry. The functional is GGA-PBEsol.

Lattice parameters (Å, degrees): 6.7145 6.7145 6.7145 60.00 60.00 60.00
Atoms (fractional coordinates):
Rb  0.2500  0.2500  0.2500
Rb  0.7500  0.7500  0.7500
Y  0.0000  0.0000  0.0000
Tl  0.5000  0.5000  0.5000
F  0.2263  0.2263  0.7737
F  0.2263  0.7737  0.2263
F  0.2263  0.7737  0.7737
F  0.7737  0.2263  0.2263
F  0.7737  0.2263  0.7737
F  0.7737  0.7737  0.2263

Properties
- Space-group type: Fm-3m (225)
- Energy relative to the elements, uncorrected: -3.062 eV/atom

Question: Number 4 is which compound?
Answer: Rb2YTlF6

Question: Number 3 is which compound?
Answer: LiCa2Cd